Entry 1:
Material: Hg2AuSe
Method: DFT, SCAN
State: single point on PBEsol structure

Summary:
Fermi-level density of states (states/eV per atom): 0.4800
Raw formation energy (eV/f.u.): 1.0
Total magnetization (μB/cell): 0.0

a b c (Å): 2.8195 2.8195 10.9157
angles (deg): 90.00 90.00 90.00
Closest atoms and distances in Å follow each position.
Fractional positions:
Hg 0.5000 0.5000 0.2495  4 Hg 2.82
Au 0.5000 0.5000 0.7472  4 Au 2.82, 4 Se 3.08, 4 Hg 3.15
Se 0.0000 0.0000 0.5322  4 Se 2.82, 4 Au 3.08
Hg 0.0000 0.0000 0.9711  4 Hg 2.82, 4 Au 3.15


Entry 2:
Material: HgAu2Se
Method: DFT, SCAN
State: single point on PBEsol structure

Summary:
Fermi-level density of states (states/eV per atom): 0.1884
Raw formation energy (eV/f.u.): 1.1
Total magnetization (μB/cell): 0.0

a b c (Å): 4.1396 4.1525 5.2293
angles (deg): 113.39 113.32 90.00
Closest atoms and distances in Å follow each position.
Fractional positions:
Au 0.7493 0.2493 0.4986  4 Se 2.93, 4 Au 2.99-3.00, 4 Hg 2.99-3.00
Au 0.9997 0.9997 0.9993  4 Hg 2.93, 4 Se 2.99-3.01, 4 Au 2.99-3.00
Se 0.2509 0.7509 0.5017  8 Au 2.93-3.01, 4 Hg 3.00
Hg 0.5002 0.5002 0.0004  8 Au 2.93-3.00, 4 Se 3.00